Record 1
Compound: Pm6HC2F3
Source: the Alexandria database
Functional: PBE-GGA
Structure: relaxed

abc: 6.362 6.362 6.558
angles: 99.21 99.21 120.01
Element x y z (fractional)
Pm (0.085, 0.427, 0.777)
Pm (0.225, 0.225, 0.232)
Pm (0.427, 0.085, 0.777)
Pm (0.573, 0.915, 0.223)
Pm (0.775, 0.775, 0.768)
Pm (0.915, 0.573, 0.223)
H (0.500, 0.500, 0.000)
C (0.166, 0.834, 0.000)
C (0.834, 0.166, 0.000)
F (0.000, 0.000, 0.500)
F (0.303, 0.697, 0.500)
F (0.697, 0.303, 0.500)

## Properties
size of the total moment = 0.071 μB per atom
total energy = -72.699 eV for the cell shown

Record 2
Compound: TbScCo4
Source: the Alexandria database
Functional: PBE-GGA
Structure: relaxed

abc: 4.985 4.985 4.985
angles: 60.00 60.00 60.00
Element x y z (fractional)
Tb (0.000, 0.000, 0.000)
Sc (0.750, 0.750, 0.750)
Co (0.376, 0.376, 0.376)
Co (0.376, 0.376, 0.873)
Co (0.376, 0.873, 0.376)
Co (0.873, 0.376, 0.376)

## Properties
size of the total moment = 0.627 μB per atom
total energy = -40.914 eV for the cell shown

Record 3
Compound: PrNdSm2P4
Source: the Alexandria database
Functional: PBE-GGA
Structure: relaxed

abc: 7.185 7.185 7.185
angles: 131.85 131.85 70.46
Element x y z (fractional)
Pr (0.000, 0.000, 0.000)
Nd (0.500, 0.500, 0.000)
Sm (0.250, 0.750, 0.500)
Sm (0.750, 0.250, 0.500)
P (0.000, 0.500, 0.500)
P (0.251, 0.251, 0.000)
P (0.500, 0.000, 0.500)
P (0.749, 0.749, 0.000)

## Properties
size of the total moment = 0.000 μB per atom
total energy = -53.003 eV for the cell shown

Record 4
Compound: TcBr
Source: the Alexandria database
Functional: PBE-GGA
Structure: relaxed

abc: 3.491 3.509 8.961
angles: 85.84 87.81 61.61
Element x y z (fractional)
Tc (0.000, 0.000, 0.000)
Tc (0.250, 0.439, 0.850)
Br (0.544, 0.812, 0.216)
Br (0.887, 0.109, 0.638)

## Properties
size of the total moment = 0.000 μB per atom
energy relative to the elements, uncorrected = 0.0753 eV/atom
total energy = -23.777 eV for the cell shown

Record 5
Compound: U2CrS
Source: the Alexandria database
Functional: PBE-GGA
Structure: relaxed

abc: 7.036 7.036 7.036
angles: 30.20 30.20 30.20
Element x y z (fractional)
U (0.244, 0.244, 0.244)
U (0.756, 0.756, 0.756)
Cr (0.500, 0.500, 0.500)
S (0.000, 0.000, 0.000)

## Properties
size of the total moment = 0.000 μB per atom
energy relative to the elements, uncorrected = -0.1483 eV/atom
total energy = -36.920 eV for the cell shown

Record 6
Compound: DyYS
Source: the Alexandria database
Functional: PBE-GGA
Structure: relaxed

abc: 3.782 3.782 6.301
angles: 90.00 90.00 120.00
Element x y z (fractional)
Dy (0.000, 0.000, 0.000)
Y (0.667, 0.333, 0.472)
S (0.333, 0.667, 0.737)

## Properties
size of the total moment = 0.012 μB per atom
energy relative to the elements, uncorrected = -1.2955 eV/atom
total energy = -19.080 eV for the cell shown